This record from the Alexandria database describes TiCdSe2Br after structural relaxation. The functional is PBEsol.

a = 4.908 Å, b = 4.908 Å, c = 5.048 Å
α = 90.00°, β = 90.00°, γ = 90.00°
Positions (direct):
Ti 0.000 0.000 0.000
Cd 0.500 0.500 0.500
Se 0.000 0.500 0.000
Se 0.500 0.000 0.000
Br 0.000 0.000 0.500

Properties
Uncorrected energy   -4.2803 eV per atom
Raw formation energy   -0.46 eV/atom
SG   P4/mmm (123)